[1]
Entry from Alexandria: an optimized crystal structure of MnIn2Pb (GGA-PBEsol).

Values from the calculation:
Calculated formation energy ... 0.38 eV/atom
Calculated total energy ... -4.55 eV/atom

Lattice parameters (Å, degrees): 3.504 5.093 5.193 90.00 90.00 90.00
Space group Pmmm (No. 47)
Asymmetric unit:
Mn: 0.000 0.000 0.000 (multiplicity 1)
In: 0.000 0.500 0.500 (multiplicity 1)
In: 0.500 0.000 0.500 (multiplicity 1)
Pb: 0.500 0.500 0.000 (multiplicity 1)

***

[2]
Entry from Alexandria: an optimized crystal structure of SiS2Br (GGA-PBEsol).

Values from the calculation:
Raw formation energy ... -342.1 meV/atom
Calculated total energy ... -4.44 eV/atom

Lattice parameters (Å, degrees): 3.2010 3.2010 32.4005 90.00 90.00 120.00
Space group R-3m (No. 166, hexagonal axes)
Asymmetric unit:
Si: 0.0000 0.0000 0.0000 (multiplicity 3)
S: 0.0000 0.0000 0.3748 (multiplicity 6)
Br: 0.0000 0.0000 0.5000 (multiplicity 3)

***

[3]
Entry from Alexandria: an optimized crystal structure of LiCu2Cl (GGA-PBEsol).

Values from the calculation:
Raw formation energy ... 142.2 meV/atom
Distance to the lowest polymorph of the same formula ... 417 meV per atom
Calculated total energy ... -3.02 eV/atom

Lattice parameters (Å, degrees): 2.9420 2.9420 23.5235 90.00 90.00 120.00
Space group R-3m (No. 166, hexagonal axes)
Asymmetric unit:
Li: 0.0000 0.0000 0.0000 (multiplicity 3)
Cu: 0.0000 0.0000 0.2446 (multiplicity 6)
Cl: 0.0000 0.0000 0.5000 (multiplicity 3)

***

[4]
Entry from Alexandria: an optimized crystal structure of KRe (GGA-PBEsol).

Values from the calculation:
Calculated formation energy ... 1.11 eV/atom
Calculated total energy ... -6.12 eV/atom

Lattice parameters (Å, degrees): 2.9082 2.9082 11.9311 90.00 90.00 120.00
Space group P-3m1 (No. 164)
Asymmetric unit:
K: 0.3333 0.6667 0.1696 (multiplicity 2)
Re: 0.3333 0.6667 0.5826 (multiplicity 2)

***

[5]
Entry from Alexandria: an optimized crystal structure of ScIn2TeMo (GGA-PBEsol).

Values from the calculation:
Raw formation energy ... 1161.9 meV/atom
Calculated total energy ... -4.41 eV/atom

Lattice parameters (Å, degrees): 5.477 5.477 4.901 90.00 90.00 90.00
Space group P4/mmm (No. 123)
Asymmetric unit:
Sc: 0.000 0.000 0.000 (multiplicity 1)
In: 0.000 0.500 0.500 (multiplicity 2)
Te: 0.500 0.500 0.500 (multiplicity 1)
Mo: 0.500 0.500 0.000 (multiplicity 1)

***

[6]
Entry from Alexandria: an optimized crystal structure of SnHgBr2 (GGA-PBEsol).

Values from the calculation:
Raw formation energy ... -426.0 meV/atom
Distance to the lowest polymorph of the same formula ... 0 meV per atom
Calculated total energy ... -2.57 eV/atom

Lattice parameters (Å, degrees): 4.1624 4.1624 31.6176 90.00 90.00 120.00
Space group R-3m (No. 166, hexagonal axes)
Asymmetric unit:
Sn: 0.0000 0.0000 0.0000 (multiplicity 3)
Hg: 0.0000 0.0000 0.5000 (multiplicity 3)
Br: 0.0000 0.0000 0.3884 (multiplicity 6)